Eu2ZnSb after structural relaxation, computed with PBE-GGA.

The calculation puts the density of states at the Fermi level at 2.598 states/eV per atom. The volume comes out at 114.83 Å³ per cell. Its mass density is 7.1 g cm⁻³. The value obtained for the offset from the most stable computed form is 0.0000 eV per atom. The size of the total moment is 14.205 μB per formula unit. For the uncorrected formation energy, the calculation gives -0.662 eV/atom.

It has space group P4/mmm (No. 123), with a = 5.215 Å, b = 5.215 Å, c = 4.222 Å, α = 90.00°, β = 90.00° and γ = 90.00°. Symmetry generates all atoms from Eu at (0.000, 0.500, 0.000), Zn at (0.000, 0.000, 0.500) and Sb at (0.500, 0.500, 0.500).